No. 1
An optimized crystal structure of Cd2Ag, computed with PBEsol.

The structure belongs to space group Fm-3m (No. 225); the cell edges are 6.4272, 6.4272 and 6.4272 Å and the angles 90.00°, 90.00° and 90.00°. The inequivalent atoms are Cd at (0.2500, 0.2500, 0.2500) and Ag at (0.0000, 0.0000, 0.0000).

The density of states at the Fermi level comes out at 0.363 states/eV/atom. The total DFT energy (no corrections) comes out at -1.8301 eV per atom. The energy above the most stable polymorph in this dataset is 139 meV/atom. Its formation enthalpy at 0 K is 0.07 eV/atom.


No. 2
An optimized crystal structure of CdAg2, computed with PBEsol.

The structure belongs to space group Cm (No. 8); the cell edges are 10.6956, 2.9450 and 6.9003 Å and the angles 90.00°, 105.23° and 90.00°. The inequivalent atoms are Cd at (0.0000, 0.0000, 0.0000), Cd at (0.1739, 0.5000, 0.3460), Ag at (0.1180, 0.5000, 0.7319), Ag at (0.2819, 0.0000, 0.0648), Ag at (0.3382, 0.0000, 0.6736) and Ag at (0.4510, 0.5000, 0.4007).

The density of states at the Fermi level comes out at 0.259 states/eV/atom. The total DFT energy (no corrections) comes out at -2.6559 eV per atom. The energy above the most stable polymorph in this dataset is 16 meV/atom. Its formation enthalpy at 0 K is -0.05 eV/atom.